# 1
# ErTmZnCo

A geometry-optimized ErTmZnCo structure (PBE, Alexandria via LeMat-Bulk).

Values from the calculation:
**ΔE to the lowest computed polymorph**: 0 meV/atom
**Energy relative to the elements**: -28.9 kJ per mole of atoms
**Fermi-level density of states**: 1.9 states/eV/cell
**Final energy**: -4.6529 eV per atom

Cell lengths 3.3552, 3.3552, 7.1286 Å; angles 90.00, 90.00, 90.00 degrees
Sites, in units of the cell vectors:
Er 0.0000 0.0000 0.0000
Tm 0.0000 0.0000 0.5474
Zn 0.5000 0.5000 0.2756
Co 0.5000 0.5000 0.7720

# 2
# ZrMo2Cl

A geometry-optimized ZrMo2Cl structure (PBE, Alexandria via LeMat-Bulk).

Values from the calculation:
**ΔE to the lowest computed polymorph**: 660 meV/atom
**Uncorrected formation energy**: 503 meV/atom
**Fermi-level density of states**: 3.6 states/eV/cell
**Final energy**: -7.5112 eV per atom

Cell lengths 5.6219, 5.6219, 2.8176 Å; angles 90.00, 90.00, 126.31 degrees
Sites, in units of the cell vectors:
Zr 0.0000 0.0000 0.0000
Mo 0.0000 0.5000 0.5000
Mo 0.5000 0.0000 0.5000
Cl 0.5000 0.5000 0.0000

# 3
# Ag6Se3S

A geometry-optimized Ag6Se3S structure (PBE, Alexandria via LeMat-Bulk).

Values from the calculation:
**Uncorrected formation energy**: 28 meV/atom
**Fermi-level density of states**: 9.3 states/eV/cell
**Final energy**: -3.1409 eV per atom

Cell lengths 6.3850, 6.7414, 11.9799 Å; angles 90.00, 120.68, 90.00 degrees
Sites, in units of the cell vectors:
Ag 0.0737 0.1449 0.4283
Ag 0.0737 0.3551 0.9283
Ag 0.1878 0.7250 0.3842
Ag 0.1878 0.7750 0.8842
Ag 0.3222 0.0613 0.2555
Ag 0.3222 0.4387 0.7555
Ag 0.6778 0.5613 0.2445
Ag 0.6778 0.9387 0.7445
Ag 0.8122 0.2250 0.1158
Ag 0.8122 0.2750 0.6158
Ag 0.9263 0.6449 0.0717
Ag 0.9263 0.8551 0.5717
Se 0.0000 0.0000 0.0000
Se 0.0000 0.5000 0.5000
Se 0.2949 0.0396 0.7596
Se 0.2949 0.4604 0.2596
Se 0.7051 0.5396 0.7404
Se 0.7051 0.9604 0.2404
S 0.5000 0.0000 0.5000
S 0.5000 0.5000 0.0000

# 4
# K8HgAu2

A geometry-optimized K8HgAu2 structure (PBE, Alexandria via LeMat-Bulk).

Values from the calculation:
**Energy relative to the elements**: -15.2 kJ per mole of atoms
**Fermi-level density of states**: 4.0 states/eV/cell
**Final energy**: -1.5792 eV per atom

Cell lengths 9.2996, 9.2996, 6.5589 Å; angles 97.63, 97.63, 111.38 degrees
Sites, in units of the cell vectors:
K 0.0596 0.3272 0.5902
K 0.2435 0.7565 0.0000
K 0.3272 0.0596 0.5902
K 0.3706 0.3706 0.2005
K 0.6294 0.6294 0.7995
K 0.6728 0.9404 0.4098
K 0.7565 0.2435 0.0000
K 0.9404 0.6728 0.4098
Hg 0.0000 0.0000 0.0000
Au 0.3196 0.6804 0.5000
Au 0.6804 0.3196 0.5000

# 5
# CsB3Ru

A geometry-optimized CsB3Ru structure (PBE, Alexandria via LeMat-Bulk).

Values from the calculation:
**ΔE to the lowest computed polymorph**: 0 meV/atom
**Energy relative to the elements**: 86.9 kJ per mole of atoms
**Fermi-level density of states**: 0.4 states/eV/cell
**Final energy**: -5.1319 eV per atom

Cell lengths 4.3295, 4.3295, 4.3295 Å; angles 90.00, 90.00, 90.00 degrees
Sites, in units of the cell vectors:
Cs 0.0000 0.0000 0.0000
B 0.0000 0.5000 0.5000
B 0.5000 0.0000 0.5000
B 0.5000 0.5000 0.0000
Ru 0.5000 0.5000 0.5000

# 6
# TaHgAs2

A geometry-optimized TaHgAs2 structure (PBE, Alexandria via LeMat-Bulk).

Values from the calculation:
**Energy relative to the elements**: 59.4 kJ per mole of atoms
**Fermi-level density of states**: 4.0 states/eV/cell
**Final energy**: -4.7476 eV per atom

Cell lengths 4.7945, 4.7945, 4.7945 Å; angles 60.00, 60.00, 60.00 degrees
Sites, in units of the cell vectors:
Ta 0.0000 0.0000 0.0000
Hg 0.2500 0.2500 0.2500
As 0.5000 0.5000 0.5000
As 0.7500 0.7500 0.7500

# 7
# Ba5BiAu2

A geometry-optimized Ba5BiAu2 structure (PBE, Alexandria via LeMat-Bulk).

Values from the calculation:
**Energy relative to the elements**: -63.4 kJ per mole of atoms
**Fermi-level density of states**: 12.3 states/eV/cell
**Final energy**: -3.1633 eV per atom

Cell lengths 10.1504, 10.1504, 10.1504 Å; angles 126.59, 126.59, 78.92 degrees
Sites, in units of the cell vectors:
Ba 0.0000 0.0000 0.0000
Ba 0.0240 0.5240 0.8277
Ba 0.1964 0.0240 0.5000
Ba 0.3036 0.8036 0.8277
Ba 0.4760 0.3036 0.5000
Ba 0.5000 0.5000 0.0000
Ba 0.5240 0.6964 0.5000
Ba 0.6964 0.1964 0.1723
Ba 0.8036 0.9760 0.5000
Ba 0.9760 0.4760 0.1723
Bi 0.2500 0.2500 0.0000
Bi 0.7500 0.7500 0.0000
Au 0.1318 0.3682 0.5000
Au 0.3682 0.8682 0.2365
Au 0.6318 0.1318 0.7635
Au 0.8682 0.6318 0.5000

# 8
# LiPuZnGe2

A geometry-optimized LiPuZnGe2 structure (PBE, Alexandria via LeMat-Bulk).

Values from the calculation:
**Energy relative to the elements**: -34.6 kJ per mole of atoms
**Fermi-level density of states**: 11.5 states/eV/cell
**Final energy**: -5.7100 eV per atom

Cell lengths 6.2419, 6.2419, 6.2419 Å; angles 141.62, 141.62, 55.41 degrees
Sites, in units of the cell vectors:
Li 0.0000 0.0000 0.0000
Pu 0.7500 0.2500 0.5000
Zn 0.5000 0.5000 0.0000
Ge 0.1372 0.6372 0.5000
Ge 0.3628 0.8628 0.5000